1.
The following is a DFT calculation (PBE-GGA) of an optimized crystal structure of InB2Mo3.

## Properties
The energy is -99.6 eV per cell.

a b c (Å): 3.1349 3.1349 19.4013
angles (deg): 90.00 90.00 120.00
Fractional positions:
1 B 0.6667 0.3333 0.5680
2 Mo 0.0000 0.0000 0.0000
3 In 0.0000 0.0000 0.2500
4 B 0.3333 0.6667 0.0680
5 Mo 0.0000 0.0000 0.5000
6 In 0.0000 0.0000 0.7500
7 Mo 0.6667 0.3333 0.1286
8 Mo 0.3333 0.6667 0.6286
9 Mo 0.3333 0.6667 0.8714
10 Mo 0.6667 0.3333 0.3714
11 B 0.3333 0.6667 0.4320
12 B 0.6667 0.3333 0.9320



2.
The following is a DFT calculation (PBE-GGA) of an optimized crystal structure of InB2Mo2.

## Properties
The energy is -38.7 eV per cell.

a b c (Å): 6.9563 6.9563 3.0896
angles (deg): 90.00 90.00 154.76
Fractional positions:
1 In 0.0000 0.0000 0.0000
2 Mo 0.6580 0.3420 0.5000
3 B 0.7849 0.2151 0.0000
4 Mo 0.3420 0.6580 0.5000
5 B 0.2151 0.7849 0.0000



3.
The following is a DFT calculation (PBE-GGA) of an optimized crystal structure of In2BMo.

## Properties
The energy is -17.9 eV per cell.

a b c (Å): 4.5981 4.5981 4.5981
angles (deg): 60.00 60.00 60.00
Each line ends with the local moment (μB).
Fractional positions:
1 In 0.7500 0.7500 0.7500  0.00
2 B 0.0000 0.0000 0.0000  -0.01
3 Mo 0.2500 0.2500 0.2500  0.19
4 In 0.5000 0.5000 0.5000  0.00